Record 1
# CaPrP2Pt2 | the Alexandria database | GGA-PBE | optimized geometry
data_CaPrP2Pt2
_cell_length_a 4.1438
_cell_length_b 4.1438
_cell_length_c 8.2722
_cell_angle_alpha 90.00
_cell_angle_beta 90.00
_cell_angle_gamma 120.00
_symmetry_space_group_name_H-M 'P 1'
_symmetry_Int_Tables_number 1
loop_
_symmetry_equiv_pos_as_xyz
'x,y,z'
loop_
_atom_site_label
_atom_site_type_symbol
_atom_site_fract_x
_atom_site_fract_y
_atom_site_fract_z
_atom_site_occupancy
Ca1 Ca 0.0000 0.0000 0.0000 1
Pr1 Pr 0.0000 0.0000 0.5000 1
P1 P 0.3333 0.6667 0.7443 1
P2 P 0.6667 0.3333 0.2557 1
Pt1 Pt 0.3333 0.6667 0.2451 1
Pt2 Pt 0.6667 0.3333 0.7549 1
# space-group type	P-3m1, No. 164
# raw total energy	-0.2271	Ha/atom
# N(E_F)	0.358	states/eV per atom
# magnetic moment	0.000	μB/f.u.
# ΔH_f (0 K)	-1.233	eV/atom


Record 2
# RbBiPdPb | the Alexandria database | GGA-PBE | optimized geometry
data_RbBiPdPb
_cell_length_a 7.7225
_cell_length_b 7.7225
_cell_length_c 7.7225
_cell_angle_alpha 35.50
_cell_angle_beta 35.50
_cell_angle_gamma 35.50
_symmetry_space_group_name_H-M 'P 1'
_symmetry_Int_Tables_number 1
loop_
_symmetry_equiv_pos_as_xyz
'x,y,z'
loop_
_atom_site_label
_atom_site_type_symbol
_atom_site_fract_x
_atom_site_fract_y
_atom_site_fract_z
_atom_site_occupancy
Rb1 Rb 0.0000 0.0000 0.0000 1
Bi1 Bi 0.4538 0.4538 0.4538 1
Pd1 Pd 0.8225 0.8225 0.8225 1
Pb1 Pb 0.2081 0.2081 0.2081 1
# space-group type	R3m, No. 160
# raw total energy	-0.1375	Ha/atom
# N(E_F)	0.391	states/eV per atom
# magnetic moment	0.000	μB/f.u.
# ΔH_f (0 K)	-0.304	eV/atom


Record 3
# RuPt | the Alexandria database | GGA-PBE | optimized geometry
data_RuPt
_cell_length_a 2.6468
_cell_length_b 10.5012
_cell_length_c 8.7196
_cell_angle_alpha 90.00
_cell_angle_beta 90.00
_cell_angle_gamma 90.00
_symmetry_space_group_name_H-M 'P 1'
_symmetry_Int_Tables_number 1
loop_
_symmetry_equiv_pos_as_xyz
'x,y,z'
loop_
_atom_site_label
_atom_site_type_symbol
_atom_site_fract_x
_atom_site_fract_y
_atom_site_fract_z
_atom_site_occupancy
Ru1 Ru 0.2500 0.1357 0.1099 1
Ru2 Ru 0.2500 0.3643 0.1099 1
Ru3 Ru 0.2500 0.7500 0.3762 1
Ru4 Ru 0.7500 0.2500 0.6238 1
Ru5 Ru 0.7500 0.6357 0.8901 1
Ru6 Ru 0.7500 0.8643 0.8901 1
Pt1 Pt 0.2500 0.2500 0.3730 1
Pt2 Pt 0.2500 0.6091 0.1462 1
Pt3 Pt 0.2500 0.8909 0.1462 1
Pt4 Pt 0.7500 0.1091 0.8538 1
Pt5 Pt 0.7500 0.3909 0.8538 1
Pt6 Pt 0.7500 0.7500 0.6270 1
# space-group type	Pmmn, No. 59
# raw total energy	-0.2530	Ha/atom
# N(E_F)	1.497	states/eV per atom
# magnetic moment	0.000	μB/f.u.
# ΔH_f (0 K)	0.774	eV/atom


Record 4
# CaYTlBi | the Alexandria database | GGA-PBE | optimized geometry
data_CaYTlBi
_cell_length_a 5.5087
_cell_length_b 5.5087
_cell_length_c 5.5087
_cell_angle_alpha 60.00
_cell_angle_beta 60.00
_cell_angle_gamma 60.00
_symmetry_space_group_name_H-M 'P 1'
_symmetry_Int_Tables_number 1
loop_
_symmetry_equiv_pos_as_xyz
'x,y,z'
loop_
_atom_site_label
_atom_site_type_symbol
_atom_site_fract_x
_atom_site_fract_y
_atom_site_fract_z
_atom_site_occupancy
Ca1 Ca 0.0000 0.0000 0.0000 1
Y1 Y 0.5000 0.5000 0.5000 1
Tl1 Tl 0.2500 0.2500 0.2500 1
Bi1 Bi 0.7500 0.7500 0.7500 1
# space-group type	F-43m, No. 216
# raw total energy	-0.1523	Ha/atom
# N(E_F)	0.850	states/eV per atom
# magnetic moment	0.000	μB/f.u.
# ΔH_f (0 K)	-0.467	eV/atom


Record 5
# Hf2Co3Ni4 | the Alexandria database | GGA-PBE | optimized geometry
data_Hf2Co3Ni4
_cell_length_a 7.3414
_cell_length_b 6.4847
_cell_length_c 4.7317
_cell_angle_alpha 80.11
_cell_angle_beta 60.48
_cell_angle_gamma 39.42
_symmetry_space_group_name_H-M 'P 1'
_symmetry_Int_Tables_number 1
loop_
_symmetry_equiv_pos_as_xyz
'x,y,z'
loop_
_atom_site_label
_atom_site_type_symbol
_atom_site_fract_x
_atom_site_fract_y
_atom_site_fract_z
_atom_site_occupancy
Hf1 Hf 0.1351 0.1351 0.8649 1
Hf2 Hf 0.8649 0.8649 0.1351 1
Co1 Co 0.0000 0.0000 0.5000 1
Co2 Co 0.5000 0.5000 0.0000 1
Co3 Co 0.5000 0.5000 0.5000 1
Ni1 Ni 0.1644 0.4921 0.5079 1
Ni2 Ni 0.4921 0.1644 0.8356 1
Ni3 Ni 0.5079 0.8356 0.1644 1
Ni4 Ni 0.8356 0.5079 0.4921 1
# space-group type	Fmmm, No. 69
# raw total energy	-0.2771	Ha/atom
# N(E_F)	0.932	states/eV per atom
# magnetic moment	3.391	μB/f.u.
# ΔH_f (0 K)	-0.390	eV/atom


Record 6
# Tl2CrW | the Alexandria database | GGA-PBE | optimized geometry
data_Tl2CrW
_cell_length_a 4.6909
_cell_length_b 4.6909
_cell_length_c 4.6909
_cell_angle_alpha 60.00
_cell_angle_beta 60.00
_cell_angle_gamma 60.00
_symmetry_space_group_name_H-M 'P 1'
_symmetry_Int_Tables_number 1
loop_
_symmetry_equiv_pos_as_xyz
'x,y,z'
loop_
_atom_site_label
_atom_site_type_symbol
_atom_site_fract_x
_atom_site_fract_y
_atom_site_fract_z
_atom_site_occupancy
Tl1 Tl 0.2500 0.2500 0.2500 1
Tl2 Tl 0.7500 0.7500 0.7500 1
Cr1 Cr 0.0000 0.0000 0.0000 1
W1 W 0.5000 0.5000 0.5000 1
# space-group type	Fm-3m, No. 225
# raw total energy	-0.2037	Ha/atom
# N(E_F)	1.275	states/eV per atom
# magnetic moment	0.000	μB/f.u.
# distance to the lowest polymorph of the same formula	0.683	eV per atom
# ΔH_f (0 K)	1.284	eV/atom


Record 7
# Ca6Cd2Hg | the Alexandria database | GGA-PBE | optimized geometry
data_Ca6Cd2Hg
_cell_length_a 9.2004
_cell_length_b 9.2004
_cell_length_c 9.2004
_cell_angle_alpha 111.11
_cell_angle_beta 110.52
_cell_angle_gamma 106.82
_symmetry_space_group_name_H-M 'P 1'
_symmetry_Int_Tables_number 1
loop_
_symmetry_equiv_pos_as_xyz
'x,y,z'
loop_
_atom_site_label
_atom_site_type_symbol
_atom_site_fract_x
_atom_site_fract_y
_atom_site_fract_z
_atom_site_occupancy
Ca1 Ca 0.0491 0.8310 0.2182 1
Ca2 Ca 0.2506 0.5563 0.3057 1
Ca3 Ca 0.2506 0.9449 0.6943 1
Ca4 Ca 0.2684 0.3222 0.5906 1
Ca5 Ca 0.2684 0.6778 0.9462 1
Ca6 Ca 0.3872 0.1690 0.2182 1
Ca7 Ca 0.6128 0.8310 0.7818 1
Ca8 Ca 0.7316 0.3222 0.0538 1
Ca9 Ca 0.7316 0.6778 0.4094 1
Ca10 Ca 0.7494 0.0551 0.3057 1
Ca11 Ca 0.7494 0.4437 0.6943 1
Ca12 Ca 0.9509 0.1690 0.7818 1
Cd1 Cd 0.0000 0.1461 0.1461 1
Cd2 Cd 0.0000 0.8539 0.8539 1
Cd3 Cd 0.3671 0.3671 0.0000 1
Cd4 Cd 0.6329 0.6329 0.0000 1
Hg1 Hg 0.0000 0.5000 0.5000 1
Hg2 Hg 0.5000 0.0000 0.5000 1
# space-group type	Immm, No. 71
# raw total energy	-0.0673	Ha/atom
# N(E_F)	1.072	states/eV per atom
# magnetic moment	0.000	μB/f.u.
# ΔH_f (0 K)	-0.259	eV/atom


Record 8
# RbC2Br | the Alexandria database | GGA-PBE | optimized geometry
data_RbC2Br
_cell_length_a 5.1225
_cell_length_b 5.1225
_cell_length_c 5.1225
_cell_angle_alpha 60.00
_cell_angle_beta 60.00
_cell_angle_gamma 60.00
_symmetry_space_group_name_H-M 'P 1'
_symmetry_Int_Tables_number 1
loop_
_symmetry_equiv_pos_as_xyz
'x,y,z'
loop_
_atom_site_label
_atom_site_type_symbol
_atom_site_fract_x
_atom_site_fract_y
_atom_site_fract_z
_atom_site_occupancy
Rb1 Rb 0.0000 0.0000 0.0000 1
C1 C 0.2500 0.2500 0.2500 1
C2 C 0.7500 0.7500 0.7500 1
Br1 Br 0.5000 0.5000 0.5000 1
# space-group type	Fm-3m, No. 225
# raw total energy	-0.0917	Ha/atom
# N(E_F)	0.213	states/eV per atom
# formation energy without anion corrections	2.7764	eV/atom
# magnetic moment	4.000	μB/f.u.
# distance to the lowest polymorph of the same formula	0.399	eV per atom


Record 9
# Cs2GaAu | the Alexandria database | GGA-PBE | optimized geometry
data_Cs2GaAu
_cell_length_a 4.8848
_cell_length_b 6.7974
_cell_length_c 6.7974
_cell_angle_alpha 54.30
_cell_angle_beta 90.00
_cell_angle_gamma 90.00
_symmetry_space_group_name_H-M 'P 1'
_symmetry_Int_Tables_number 1
loop_
_symmetry_equiv_pos_as_xyz
'x,y,z'
loop_
_atom_site_label
_atom_site_type_symbol
_atom_site_fract_x
_atom_site_fract_y
_atom_site_fract_z
_atom_site_occupancy
Cs1 Cs 0.0000 0.0000 0.0000 1
Cs2 Cs 0.5000 0.3140 0.3140 1
Ga1 Ga 0.5000 0.6388 0.6388 1
Au1 Au 0.0000 0.6776 0.6776 1
# space-group type	Amm2, No. 38
# raw total energy	-0.0803	Ha/atom
# N(E_F)	0.508	states/eV per atom
# magnetic moment	0.000	μB/f.u.
# distance to the lowest polymorph of the same formula	0.000	eV per atom
# ΔH_f (0 K)	-0.182	eV/atom


Record 10
# NaCdMo2 | the Alexandria database | GGA-PBE | optimized geometry
data_NaCdMo2
_cell_length_a 6.2076
_cell_length_b 6.2076
_cell_length_c 6.2076
_cell_angle_alpha 99.32
_cell_angle_beta 99.32
_cell_angle_gamma 132.54
_symmetry_space_group_name_H-M 'P 1'
_symmetry_Int_Tables_number 1
loop_
_symmetry_equiv_pos_as_xyz
'x,y,z'
loop_
_atom_site_label
_atom_site_type_symbol
_atom_site_fract_x
_atom_site_fract_y
_atom_site_fract_z
_atom_site_occupancy
Na1 Na 0.0000 0.0000 0.0000 1
Na2 Na 0.7500 0.2500 0.5000 1
Cd1 Cd 0.2500 0.7500 0.5000 1
Cd2 Cd 0.5000 0.5000 0.0000 1
Mo1 Mo 0.1548 0.6250 0.0298 1
Mo2 Mo 0.3750 0.4048 0.5298 1
Mo3 Mo 0.5952 0.1250 0.9702 1
Mo4 Mo 0.8750 0.8452 0.4702 1
# space-group type	I-42d, No. 122
# raw total energy	-0.1701	Ha/atom
# N(E_F)	1.017	states/eV per atom
# magnetic moment	0.004	μB/f.u.
# ΔH_f (0 K)	1.345	eV/atom


Record 11
# NiSeN2Cl | the Alexandria database | GGA-PBE | optimized geometry
data_NiSeN2Cl
_cell_length_a 3.5771
_cell_length_b 3.5771
_cell_length_c 7.6407
_cell_angle_alpha 90.00
_cell_angle_beta 90.00
_cell_angle_gamma 90.00
_symmetry_space_group_name_H-M 'P 1'
_symmetry_Int_Tables_number 1
loop_
_symmetry_equiv_pos_as_xyz
'x,y,z'
loop_
_atom_site_label
_atom_site_type_symbol
_atom_site_fract_x
_atom_site_fract_y
_atom_site_fract_z
_atom_site_occupancy
Ni1 Ni 0.0000 0.0000 0.0000 1
Se1 Se 0.0000 0.0000 0.5000 1
N1 N 0.0000 0.5000 0.0000 1
N2 N 0.5000 0.0000 0.0000 1
Cl1 Cl 0.5000 0.5000 0.5000 1
# space-group type	P4/mmm, No. 123
# raw total energy	-0.1566	Ha/atom
# N(E_F)	0.730	states/eV per atom
# formation energy without anion corrections	1.2918	eV/atom
# magnetic moment	0.448	μB/f.u.
# distance to the lowest polymorph of the same formula	0.000	eV per atom


Record 12
# Pm2Sm3Hg6 | the Alexandria database | GGA-PBE | optimized geometry
data_Pm2Sm3Hg6
_cell_length_a 14.2037
_cell_length_b 14.2037
_cell_length_c 14.2037
_cell_angle_alpha 159.16
_cell_angle_beta 159.16
_cell_angle_gamma 29.63
_symmetry_space_group_name_H-M 'P 1'
_symmetry_Int_Tables_number 1
loop_
_symmetry_equiv_pos_as_xyz
'x,y,z'
loop_
_atom_site_label
_atom_site_type_symbol
_atom_site_fract_x
_atom_site_fract_y
_atom_site_fract_z
_atom_site_occupancy
Pm1 Pm 0.1322 0.1322 0.0000 1
Pm2 Pm 0.8678 0.8678 0.0000 1
Sm1 Sm 0.3637 0.3637 0.0000 1
Sm2 Sm 0.5000 0.5000 0.0000 1
Sm3 Sm 0.6363 0.6363 0.0000 1
Hg1 Hg 0.0663 0.5663 0.5000 1
Hg2 Hg 0.2481 0.2481 0.0000 1
Hg3 Hg 0.4337 0.9337 0.5000 1
Hg4 Hg 0.5663 0.0663 0.5000 1
Hg5 Hg 0.7519 0.7519 0.0000 1
Hg6 Hg 0.9337 0.4337 0.5000 1
# space-group type	I4/mmm, No. 139
# raw total energy	-0.0893	Ha/atom
# N(E_F)	0.940	states/eV per atom
# magnetic moment	0.328	μB/f.u.
# ΔH_f (0 K)	-0.115	eV/atom


Please write out number 11 again, unchanged.
# NiSeN2Cl | the Alexandria database | GGA-PBE | optimized geometry
data_NiSeN2Cl
_cell_length_a 3.5771
_cell_length_b 3.5771
_cell_length_c 7.6407
_cell_angle_alpha 90.00
_cell_angle_beta 90.00
_cell_angle_gamma 90.00
_symmetry_space_group_name_H-M 'P 1'
_symmetry_Int_Tables_number 1
loop_
_symmetry_equiv_pos_as_xyz
'x,y,z'
loop_
_atom_site_label
_atom_site_type_symbol
_atom_site_fract_x
_atom_site_fract_y
_atom_site_fract_z
_atom_site_occupancy
Ni1 Ni 0.0000 0.0000 0.0000 1
Se1 Se 0.0000 0.0000 0.5000 1
N1 N 0.0000 0.5000 0.0000 1
N2 N 0.5000 0.0000 0.0000 1
Cl1 Cl 0.5000 0.5000 0.5000 1
# space-group type	P4/mmm, No. 123
# raw total energy	-0.1566	Ha/atom
# N(E_F)	0.730	states/eV per atom
# formation energy without anion corrections	1.2918	eV/atom
# magnetic moment	0.448	μB/f.u.
# distance to the lowest polymorph of the same formula	0.000	eV per atom